Entry from Alexandria: crystalline AsP2AuCl at its relaxed geometry (GGA-PBE).

a b c (Å): 4.815 4.815 4.788
angles (deg): 90.00 90.00 90.00
Space group P4/mmm (No. 123)
Asymmetric unit:
1 As 0.000 0.000 0.000 x1
2 P 0.000 0.500 0.000 x2
3 Au 0.500 0.500 0.500 x1
4 Cl 0.000 0.000 0.500 x1

Summary:
energy	-3.225	eV per atom
D(E_F)	2.51	states/eV per cell
relative energy among the computed polymorphs	0.000	eV per atom
formation energy (no corrections)	0.893	eV per atom

---

Entry from Alexandria: crystalline As2PdAuCl at its relaxed geometry (GGA-PBE).

a b c (Å): 4.896 4.896 4.794
angles (deg): 90.00 90.00 90.00
Space group P4/mmm (No. 123)
Asymmetric unit:
1 As 0.000 0.500 0.000 x2
2 Pd 0.000 0.000 0.000 x1
3 Au 0.500 0.500 0.500 x1
4 Cl 0.000 0.000 0.500 x1

Summary:
energy	-3.419	eV per atom
D(E_F)	3.99	states/eV per cell
relative energy among the computed polymorphs	0.000	eV per atom
formation energy (no corrections)	0.504	eV per atom

---

Entry from Alexandria: crystalline As2PdAuCl at its relaxed geometry (GGA-PBE).

a b c (Å): 4.903 4.903 5.354
angles (deg): 90.00 90.00 90.00
Space group P4/mmm (No. 123)
Asymmetric unit:
1 As 0.000 0.500 0.000 x2
2 Pd 0.000 0.000 0.500 x1
3 Au 0.000 0.000 0.000 x1
4 Cl 0.500 0.500 0.500 x1

Summary:
energy	-3.122	eV per atom
D(E_F)	7.27	states/eV per cell
relative energy among the computed polymorphs	0.297	eV per atom
formation energy (no corrections)	0.801	eV per atom

---

Entry from Alexandria: crystalline TlAsRhAuCl at its relaxed geometry (GGA-PBE).

a b c (Å): 6.616 3.859 9.215
angles (deg): 90.00 103.15 90.00
Space group Cm (No. 8)
Asymmetric unit:
1 Tl 0.000 0.000 0.000 x2
2 As 0.427 0.000 0.274 x2
3 Rh 0.293 0.500 0.373 x2
4 Au 0.185 0.000 0.552 x2
5 Cl 0.089 0.500 0.755 x2

Summary:
energy	-4.172	eV per atom
D(E_F)	2.94	states/eV per cell
relative energy among the computed polymorphs	0.000	eV per atom
formation energy (no corrections)	-0.274	eV per atom

---

Entry from Alexandria: crystalline TlAsRhAuCl at its relaxed geometry (GGA-PBE).

a b c (Å): 12.010 3.612 5.279
angles (deg): 90.00 95.94 90.00
Space group Cm (No. 8)
Asymmetric unit:
1 Tl 0.000 0.000 0.000 x2
2 As 0.224 0.500 0.523 x2
3 Rh 0.320 0.000 0.731 x2
4 Au 0.209 0.500 0.038 x2
5 Cl 0.473 0.000 0.473 x2

Summary:
energy	-4.074	eV per atom
D(E_F)	3.96	states/eV per cell
relative energy among the computed polymorphs	0.098	eV per atom
formation energy (no corrections)	-0.176	eV per atom

---

Entry from Alexandria: crystalline TlAsRhAuCl at its relaxed geometry (GGA-PBE).

a b c (Å): 3.503 5.006 7.953
angles (deg): 100.22 90.13 110.33
Space group P1 (No. 1)
Asymmetric unit:
1 Tl 0.000 0.000 0.000 x1
2 As 0.240 0.472 0.703 x1
3 Rh 0.778 0.552 0.515 x1
4 Au 0.510 0.016 0.609 x1
5 Cl 0.742 0.485 0.205 x1

Summary:
energy	-4.079	eV per atom
D(E_F)	2.25	states/eV per cell
relative energy among the computed polymorphs	0.093	eV per atom
formation energy (no corrections)	-0.181	eV per atom